Here is a relaxed AuSeF3 crystal from Alexandria via LeMat-Bulk. Energies are from GGA-PBEsol.

Results
Electronic total energy: -3.0955 eV/atom

```
data_AuSeF3
_chemical_formula_sum 'Au1 Se1 F3'
_symmetry_space_group_name_H-M 'P m -3 m'
_symmetry_Int_Tables_number 221
_symmetry_space_group_name_Hall '-P 4 2 3'
_cell_length_a 4.269
_cell_length_b 4.269
_cell_length_c 4.269
_cell_angle_alpha 90.00
_cell_angle_beta 90.00
_cell_angle_gamma 90.00
loop_
_atom_site_label
_atom_site_type_symbol
_atom_site_fract_x
_atom_site_fract_y
_atom_site_fract_z
Au1 Au 0.000 0.000 0.000
Se1 Se 0.500 0.500 0.500
F1 F 0.000 0.500 0.500
```